(1)
{"formula": "Er8Bi2Te3", "functional": "PBE-GGA", "state": "optimized geometry", "cell": [[7.1476, -4.2570, 0.0000], [7.1476, 4.2570, 0.0000], [-0.7592, 0.0000, 6.7316]], "species": ["Er", "Er", "Er", "Er", "Er", "Er", "Er", "Er", "Bi", "Bi", "Te", "Te", "Te"], "frac_coords": [[0.0876, 0.6818, 0.1276], [0.0944, 0.0944, 0.3756], [0.3182, 0.9124, 0.8724], [0.3356, 0.3356, 0.6495], [0.6644, 0.6644, 0.3505], [0.6818, 0.0876, 0.1276], [0.9056, 0.9056, 0.6244], [0.9124, 0.3182, 0.8724], [0.2612, 0.2612, 0.1417], [0.7388, 0.7388, 0.8583], [0.2954, 0.7046, 0.5000], [0.5000, 0.5000, 0.0000], [0.7046, 0.2954, 0.5000]], "space_group": "No. 12", "raw_formation_energy_ev_per_atom": -0.578, "total_energy_ev_per_atom": -4.71}

(2)
{"formula": "Ba2GaSiAs", "functional": "PBE-GGA", "state": "optimized geometry", "cell": [[6.3540, 0.0000, 0.0000], [0.0000, 6.3540, 0.0000], [0.0000, 0.0000, 4.4027]], "species": ["Ba", "Ba", "Ga", "Si", "As"], "frac_coords": [[0.0000, 0.5000, 0.0000], [0.5000, 0.0000, 0.0000], [0.0000, 0.0000, 0.0000], [0.0000, 0.0000, 0.5000], [0.5000, 0.5000, 0.5000]], "space_group": "No. 123", "raw_formation_energy_ev_per_atom": -0.113, "total_energy_ev_per_atom": -3.50}

(3)
{"formula": "TbErCl6", "functional": "PBE-GGA", "state": "optimized geometry", "cell": [[3.3642, 1.9423, 6.0923], [-3.3642, 1.9423, 6.0923], [0.0000, -3.8847, 6.0923]], "species": ["Tb", "Er", "Cl", "Cl", "Cl", "Cl", "Cl", "Cl"], "frac_coords": [[0.0000, 0.0000, 0.0000], [0.5000, 0.5000, 0.5000], [0.1082, 0.3961, 0.7476], [0.2523, 0.8918, 0.6039], [0.3961, 0.7476, 0.1082], [0.6039, 0.2523, 0.8918], [0.7477, 0.1082, 0.3961], [0.8918, 0.6039, 0.2523]], "space_group": "No. 148", "raw_formation_energy_ev_per_atom": -2.251, "total_energy_ev_per_atom": -4.79}

(4)
{"formula": "PmAu5", "functional": "PBE-GGA", "state": "optimized geometry", "cell": [[2.2869, -6.0564, 0.0000], [2.2869, 6.0564, 0.0000], [0.0000, 0.0000, 4.4131]], "species": ["Pm", "Au", "Au", "Au", "Au", "Au"], "frac_coords": [[0.0000, 0.0000, 0.0000], [0.1736, 0.8264, 0.5000], [0.3319, 0.6681, 0.0000], [0.5000, 0.5000, 0.5000], [0.6681, 0.3319, 0.0000], [0.8264, 0.1736, 0.5000]], "ef_mev_per_atom": -370.7, "space_group": "No. 65", "total_energy_ev_per_atom": -3.89}

(5)
{"formula": "Dy6Ge2TeS3", "functional": "PBE-GGA", "state": "optimized geometry", "cell": [[8.8476, -2.0396, 0.0000], [8.8476, 2.0396, 0.0000], [-1.7494, 0.0000, 7.9968]], "species": ["Dy", "Dy", "Dy", "Dy", "Dy", "Dy", "Ge", "Ge", "Te", "S", "S", "S"], "frac_coords": [[0.0031, 0.0031, 0.2768], [0.3250, 0.3250, 0.9043], [0.3327, 0.3327, 0.4170], [0.6673, 0.6673, 0.5830], [0.6750, 0.6750, 0.0957], [0.9969, 0.9969, 0.7232], [0.1668, 0.1668, 0.3339], [0.8332, 0.8332, 0.6661], [0.5000, 0.5000, 0.0000], [0.1635, 0.1635, 0.8353], [0.5000, 0.5000, 0.5000], [0.8365, 0.8365, 0.1647]], "space_group": "No. 12", "raw_formation_energy_ev_per_atom": -1.535, "total_energy_ev_per_atom": -5.90}

(6)
{"formula": "ErHfIrAu", "functional": "PBE-GGA", "state": "optimized geometry", "cell": [[0.0000, 3.4073, 3.4073], [3.4073, 0.0000, 3.4073], [3.4073, 3.4073, 0.0000]], "species": ["Er", "Hf", "Ir", "Au"], "frac_coords": [[0.0000, 0.0000, 0.0000], [0.5000, 0.5000, 0.5000], [0.2500, 0.2500, 0.2500], [0.7500, 0.7500, 0.7500]], "ef_mev_per_atom": -711.4, "space_group": "No. 216", "total_energy_ev_per_atom": -7.38}

(7)
{"formula": "PtClF2", "functional": "PBE-GGA", "state": "optimized geometry", "cell": [[-2.0503, 2.0503, 7.3595], [2.0503, -2.0503, 7.3595], [2.0503, 2.0503, -7.3595]], "species": ["Pt", "Pt", "Cl", "Cl", "F", "F", "F", "F"], "frac_coords": [[0.0000, 0.0000, 0.0000], [0.7500, 0.2500, 0.5000], [0.2500, 0.7500, 0.5000], [0.5000, 0.5000, 0.0000], [0.3750, 0.2388, 0.3638], [0.7612, 0.1250, 0.1362], [0.8750, 0.0112, 0.6362], [0.9888, 0.6250, 0.8638]], "space_group": "No. 122", "raw_formation_energy_ev_per_atom": -0.062, "total_energy_ev_per_atom": -2.97, "de_polymorph_ev_per_fu": 3.20}

(8)
{"formula": "LaGaAu11", "functional": "PBE-GGA", "state": "optimized geometry", "cell": [[2.7682, -6.7175, 0.0000], [2.7682, 6.7175, 0.0000], [-2.1885, 0.0000, 6.8672]], "species": ["La", "Ga", "Au", "Au", "Au", "Au", "Au", "Au", "Au", "Au", "Au", "Au", "Au"], "frac_coords": [[0.0000, 0.0000, 0.0000], [0.5000, 0.5000, 0.5000], [0.0000, 0.0000, 0.5000], [0.0000, 0.5000, 0.0000], [0.0345, 0.6818, 0.6519], [0.3182, 0.9655, 0.3481], [0.3188, 0.5297, 0.7805], [0.4703, 0.6812, 0.2195], [0.5000, 0.0000, 0.0000], [0.5297, 0.3188, 0.7805], [0.6812, 0.4703, 0.2195], [0.6818, 0.0345, 0.6519], [0.9655, 0.3182, 0.3481]], "ef_mev_per_atom": -257.9, "space_group": "No. 12", "total_energy_ev_per_atom": -3.64}